Entry 1:
First-principles (PBE-GGA) data for an optimized crystal structure of TaCuS2Cl, as listed in the Alexandria database.

abc: 4.7895 4.7895 4.8227
angles: 90.00 90.00 90.00
Space group P4/mmm (No. 123)
Symmetry-distinct sites (fractional):
Ta1 0.0000 0.0000 0.0000 x1
Cu1 0.5000 0.5000 0.5000 x1
S1 0.0000 0.5000 0.0000 x2
Cl1 0.0000 0.0000 0.5000 x1

Output
The energy above the most stable polymorph in this dataset is 0.000 eV/atom. The value obtained for the mass density is 5.2 Mg/m³. For the uncorrected formation energy, the calculation gives -0.094 eV/atom. As for the volume: 110.63 Å³/cell. As for the total energy: -26.52 eV/cell.


Entry 2:
First-principles (PBE-GGA) data for an optimized crystal structure of SrTl2Tc, as listed in the Alexandria database.

abc: 3.7759 3.7759 26.5627
angles: 90.00 90.00 120.00
Space group R-3m (No. 166, hexagonal axes)
Symmetry-distinct sites (fractional):
Sr1 0.0000 0.0000 0.0000 x3
Tl1 0.0000 0.0000 0.2354 x6
Tc1 0.0000 0.0000 0.5000 x3

Output
The energy above the most stable polymorph in this dataset is 0.181 eV/atom. The value obtained for the mass density is 9.0 Mg/m³. As for the volume: 327.97 Å³/cell. As for the total energy: -44.32 eV/cell.


Entry 3:
First-principles (PBE-GGA) data for an optimized crystal structure of ScHg, as listed in the Alexandria database.

abc: 10.1001 8.7097 6.1071
angles: 90.00 90.00 90.00
Space group Pbcm (No. 57)
Symmetry-distinct sites (fractional):
Sc1 0.1179 0.2500 0.0000 x4
Sc2 0.1690 0.6308 0.2500 x4
Sc3 0.3723 0.0484 0.2500 x4
Hg1 0.0808 0.5470 0.7500 x4
Hg2 0.3563 0.1133 0.7500 x4
Hg3 0.4049 0.7500 0.0000 x4

Output
The value obtained for the mass density is 9.1 Mg/m³. As for the volume: 537.24 Å³/cell. As for the total energy: -88.00 eV/cell.


Entry 4:
First-principles (PBE-GGA) data for an optimized crystal structure of Zr2W, as listed in the Alexandria database.

abc: 3.3028 3.3028 24.6963
angles: 90.00 90.00 90.00
Space group I4_1/amd (No. 141, origin choice 2)
Symmetry-distinct sites (fractional):
Zr1 0.0000 0.2500 0.3100 x8
W1 0.0000 0.2500 0.8750 x4

Output
The energy above the most stable polymorph in this dataset is 0.207 eV/atom. The value obtained for the mass density is 9.0 Mg/m³. As for the volume: 269.41 Å³/cell. As for the total energy: -116.65 eV/cell.


Entry 5:
First-principles (PBE-GGA) data for an optimized crystal structure of Ac12Pm6Pr, as listed in the Alexandria database.

abc: 16.8695 16.8695 9.5311
angles: 90.00 90.00 120.00
Space group R-3 (No. 148, hexagonal axes)
Symmetry-distinct sites (fractional):
Ac1 0.0345 0.7587 0.3412 x18
Ac2 0.0720 0.5092 0.6653 x18
Pm1 0.0161 0.8819 0.6644 x18
Pr1 0.0000 0.0000 0.0000 x3

Output
The value obtained for the mass density is 7.9 Mg/m³. As for the volume: 2348.98 Å³/cell. As for the total energy: -245.49 eV/cell.


Entry 6:
First-principles (PBE-GGA) data for an optimized crystal structure of K7H2Au3, as listed in the Alexandria database.

abc: 5.4661 26.6376 5.1049
angles: 90.00 90.00 90.00
Space group Cmmm (No. 65)
Symmetry-distinct sites (fractional):
K1 0.0000 0.0000 0.0000 x2
K2 0.0000 0.1054 0.5000 x4
K3 0.0000 0.2076 0.0000 x4
K4 0.0000 0.3998 0.0000 x4
H1 0.0000 0.1027 0.0000 x4
Au1 0.0000 0.3075 0.5000 x4
Au2 0.0000 0.5000 0.5000 x2

Output
The value obtained for the mass density is 3.9 Mg/m³. As for the volume: 743.29 Å³/cell. As for the total energy: -52.43 eV/cell.


Entry 7:
First-principles (PBE-GGA) data for an optimized crystal structure of HPtPbF2, as listed in the Alexandria database.

abc: 4.2600 4.2600 3.7527
angles: 90.00 90.00 90.00
Space group P4/mmm (No. 123)
Symmetry-distinct sites (fractional):
H1 0.0000 0.0000 0.0000 x1
Pt1 0.5000 0.5000 0.5000 x1
Pb1 0.0000 0.0000 0.5000 x1
F1 0.0000 0.5000 0.0000 x2

Output
The value obtained for the mass density is 10.8 Mg/m³. As for the volume: 68.10 Å³/cell. As for the total energy: -17.64 eV/cell.


Entry 8:
First-principles (PBE-GGA) data for an optimized crystal structure of LiBMo2Pb, as listed in the Alexandria database.

abc: 5.0874 5.0874 4.4551
angles: 90.00 90.00 90.00
Space group P4/mmm (No. 123)
Symmetry-distinct sites (fractional):
Li1 0.0000 0.0000 0.0000 x1
B1 0.5000 0.5000 0.0000 x1
Mo1 0.0000 0.5000 0.5000 x2
Pb1 0.0000 0.0000 0.5000 x1

Output
The value obtained for the mass density is 6.0 Mg/m³. As for the volume: 115.30 Å³/cell. As for the total energy: -20.50 eV/cell.


Entry 9:
First-principles (PBE-GGA) data for an optimized crystal structure of KYPb, as listed in the Alexandria database.

abc: 5.9995 6.0013 7.4795
angles: 85.56 66.36 78.74
Space group P1 (No. 1)
Symmetry-distinct sites (fractional):
K1 0.0000 0.0000 0.0000 x1
K2 0.4852 0.5010 0.9991 x1
Y1 0.2010 0.4786 0.5396 x1
Y2 0.7450 0.0203 0.5400 x1
Pb1 0.3167 0.9742 0.4048 x1
Pb2 0.7649 0.5245 0.4040 x1

Output
The energy above the most stable polymorph in this dataset is 0.221 eV/atom. The value obtained for the mass density is 4.6 Mg/m³. As for the volume: 241.95 Å³/cell. As for the total energy: -22.95 eV/cell.


Entry 10:
First-principles (PBE-GGA) data for an optimized crystal structure of KTiPt2, as listed in the Alexandria database.

abc: 7.5333 7.5333 6.6072
angles: 90.00 90.00 90.00
Space group I-42d (No. 122)
Symmetry-distinct sites (fractional):
K1 0.0000 0.0000 0.0000 x4
Ti1 0.0000 0.0000 0.5000 x4
Pt1 0.1759 0.7500 0.6250 x8

Output
The energy above the most stable polymorph in this dataset is 0.000 eV/atom. The value obtained for the mass density is 8.5 Mg/m³. As for the volume: 374.96 Å³/cell. As for the total energy: -84.15 eV/cell.


Entry 11:
First-principles (PBE-GGA) data for an optimized crystal structure of CaTiTe2, as listed in the Alexandria database.

abc: 4.3787 4.3787 26.7011
angles: 90.00 90.00 120.00
Space group R-3m (No. 166, hexagonal axes)
Symmetry-distinct sites (fractional):
Ca1 0.0000 0.0000 0.0000 x3
Ti1 0.0000 0.0000 0.5000 x3
Te1 0.0000 0.0000 0.4027 x6

Output
The energy above the most stable polymorph in this dataset is 0.418 eV/atom. The value obtained for the mass density is 3.9 Mg/m³. For the uncorrected formation energy, the calculation gives -0.323 eV/atom. As for the volume: 443.35 Å³/cell. As for the total energy: -52.42 eV/cell.


Entry 12:
First-principles (PBE-GGA) data for an optimized crystal structure of NbF, as listed in the Alexandria database.

abc: 5.9718 5.9718 3.7159
angles: 90.00 90.00 90.00
Space group P4_2/mnm (No. 136)
Symmetry-distinct sites (fractional):
Nb1 0.1604 0.1604 0.0000 x4
F1 0.2075 0.7925 0.0000 x4

Output
The energy above the most stable polymorph in this dataset is 1.294 eV/atom. The value obtained for the mass density is 5.6 Mg/m³. For the uncorrected formation energy, the calculation gives -0.344 eV/atom. As for the volume: 132.52 Å³/cell. As for the total energy: -50.52 eV/cell.